# 1
Material: Cs3SbTe
Method: DFT, PBE
State: relaxed

Unit cell a=5.1531 b=10.1772 c=11.2492 alpha=81.87 beta=89.99 gamma=75.37
With the nearest neighbours (Å) after each atom.
Atoms (fractional coordinates):
Cs (0.0000, 0.0000, 0.0000)  1 Cs 3.75, 4 Te 3.90-4.09
Cs (0.1160, 0.7672, 0.2957)  1 Cs 3.75, 4 Te 3.90-4.09
Cs (0.2927, 0.4124, 0.9851)  3 Te 3.83-3.91, 1 Sb 4.14
Cs (0.4573, 0.0794, 0.5576)  1 Te 3.60, 3 Sb 3.80-3.87
Cs (0.6553, 0.6870, 0.7380)  1 Te 3.60, 3 Sb 3.80-3.87
Cs (0.8220, 0.3546, 0.3107)  3 Te 3.82-3.91, 1 Sb 4.14
Sb (0.2730, 0.4503, 0.6134)  2 Sb 2.95
Sb (0.8398, 0.3159, 0.6825)  2 Sb 2.95
Te (0.4535, 0.0924, 0.2362)  6 Cs 3.60-3.91
Te (0.6621, 0.6747, 0.0596)  6 Cs 3.60-3.91

Values from the calculation:
Electronic total energy: -26.55 eV per cell
Mass density: 3811 kg/m3
Magnetic moment: 0.000 μB/cell
Volume: 56.5 Å³/atom

---

# 2
Material: Cs2Sb2Te3
Method: DFT, PBE
State: relaxed

Unit cell a=4.4153 b=8.1903 c=9.0993 alpha=80.76 beta=89.74 gamma=74.48
With the nearest neighbours (Å) after each atom.
Atoms (fractional coordinates):
Cs (0.1166, 0.2690, 0.3762)  4 Te 3.60-3.89
Cs (0.8834, 0.7310, 0.6238)  4 Te 3.60-3.89
Sb (0.3778, 0.7419, 0.1111)  4 Te 2.99-3.19
Sb (0.6222, 0.2581, 0.8889)  4 Te 2.99-3.19
Te (0.0000, 0.5000, 0.0000)  4 Sb 3.19
Te (0.2277, 0.0461, 0.7912)  2 Sb 2.99
Te (0.7723, 0.9539, 0.2088)  2 Sb 2.99

Values from the calculation:
Electronic total energy: -22.10 eV per cell
Mass density: 4738 kg/m3
Magnetic moment: 0.000 μB/cell
Volume: 44.7 Å³/atom

---

# 3
Material: Cs2Sb2Te5
Method: DFT, PBE
State: relaxed

Unit cell a=8.6760 b=8.6760 c=10.2008 alpha=108.31 beta=108.31 gamma=38.47
With the nearest neighbours (Å) after each atom.
Atoms (fractional coordinates):
Cs (0.0697, 0.0697, 0.3307)  8 Te 3.94-4.28
Cs (0.9303, 0.9303, 0.6693)  8 Te 3.94-4.28
Sb (0.3404, 0.3404, 0.0874)  5 Te 2.80-3.04
Sb (0.6596, 0.6596, 0.9126)  5 Te 2.80-3.04
Te (0.1473, 0.1473, 0.0047)  3 Sb 2.99-3.04
Te (0.4097, 0.4097, 0.3781)  1 Sb 2.80
Te (0.5000, 0.5000, 0.0000)  2 Sb 3.03
Te (0.5903, 0.5903, 0.6219)  1 Sb 2.80
Te (0.8527, 0.8527, 0.9953)  3 Sb 2.99-3.04

Values from the calculation:
Electronic total energy: -29.30 eV per cell
Mass density: 4229 kg/m3
Magnetic moment: 0.000 μB/cell
Volume: 50.1 Å³/atom

---

# 4
Material: CsSbTe
Method: DFT, PBE
State: relaxed

Unit cell a=8.8028 b=6.2663 c=9.9180 alpha=90.00 beta=90.00 gamma=90.00
With the nearest neighbours (Å) after each atom.
Atoms (fractional coordinates):
Cs (0.0058, 0.2500, 0.1762)  5 Te 3.96-4.25, 5 Sb 4.07-4.27
Cs (0.4942, 0.7500, 0.6762)  5 Te 3.96-4.25, 5 Sb 4.07-4.27
Cs (0.5058, 0.2500, 0.3238)  5 Te 3.96-4.25, 5 Sb 4.07-4.27
Cs (0.9942, 0.7500, 0.8238)  5 Te 3.96-4.25, 5 Sb 4.07-4.27
Sb (0.1720, 0.2500, 0.6150)  1 Te 2.78
Sb (0.3280, 0.7500, 0.1150)  1 Te 2.78
Sb (0.6720, 0.2500, 0.8850)  1 Te 2.78
Sb (0.8280, 0.7500, 0.3850)  1 Te 2.78
Te (0.1821, 0.7500, 0.3631)  1 Sb 2.78
Te (0.3179, 0.2500, 0.8631)  1 Sb 2.78
Te (0.6821, 0.7500, 0.1369)  1 Sb 2.78
Te (0.8179, 0.2500, 0.6369)  1 Sb 2.78

Values from the calculation:
Electronic total energy: -36.34 eV per cell
Mass density: 4641 kg/m3
Magnetic moment: 0.000 μB/cell
Volume: 45.6 Å³/atom

---

# 5
Material: CsSb4Te6
Method: DFT, PBE
State: relaxed

Unit cell a=7.6179 b=7.6179 c=24.1385 alpha=90.00 beta=90.00 gamma=145.13
With the nearest neighbours (Å) after each atom.
Atoms (fractional coordinates):
Cs (0.1650, 0.8350, 0.7500)  6 Te 3.78-3.90
Cs (0.8350, 0.1650, 0.2500)  6 Te 3.78-3.90
Sb (0.0918, 0.9082, 0.1279)  5 Te 2.98-3.33
Sb (0.0918, 0.9082, 0.3721)  5 Te 2.98-3.33
Sb (0.3627, 0.6373, 0.0371)  6 Te 2.96-3.25
Sb (0.3627, 0.6373, 0.4629)  6 Te 2.96-3.25
Sb (0.6373, 0.3627, 0.5371)  6 Te 2.96-3.25
Sb (0.6373, 0.3627, 0.9629)  6 Te 2.96-3.25
Sb (0.9082, 0.0918, 0.6279)  5 Te 2.98-3.33
Sb (0.9082, 0.0918, 0.8721)  5 Te 2.98-3.33
Te (0.0000, 0.0000, 0.0000)  6 Sb 3.16-3.36
Te (0.0000, 0.0000, 0.5000)  6 Sb 3.16-3.36
Te (0.1278, 0.8722, 0.2500)  2 Sb 2.99
Te (0.2598, 0.7402, 0.5822)  5 Sb 3.09-3.33
Te (0.2598, 0.7402, 0.9178)  5 Sb 3.09-3.33
Te (0.4627, 0.5373, 0.1440)  3 Sb 2.96-2.98
Te (0.4627, 0.5373, 0.3560)  3 Sb 2.96-2.98
Te (0.5373, 0.4627, 0.6440)  3 Sb 2.96-2.98
Te (0.5373, 0.4627, 0.8560)  3 Sb 2.96-2.98
Te (0.7402, 0.2598, 0.0822)  5 Sb 3.09-3.33
Te (0.7402, 0.2598, 0.4178)  5 Sb 3.09-3.33
Te (0.8722, 0.1278, 0.7500)  2 Sb 2.99

Values from the calculation:
Electronic total energy: -77.20 eV per cell
Mass density: 5745 kg/m3
Magnetic moment: 0.000 μB/cell
Volume: 36.4 Å³/atom

---

# 6
Material: Cs3SbTe
Method: DFT, PBE
State: relaxed

Unit cell a=7.3077 b=7.3077 c=7.3077 alpha=90.00 beta=90.00 gamma=90.00
With the nearest neighbours (Å) after each atom.
Atoms (fractional coordinates):
Cs (0.0000, 0.0000, 0.5000)  2 Te 3.65
Cs (0.0000, 0.5000, 0.0000)  2 Te 3.65
Cs (0.5000, 0.0000, 0.0000)  2 Te 3.65
Sb (0.5000, 0.5000, 0.5000)  12 Cs 5.17
Te (0.0000, 0.0000, 0.0000)  6 Cs 3.65

Values from the calculation:
Electronic total energy: -11.52 eV per cell
Mass density: 2758 kg/m3
Magnetic moment: 2.000 μB/cell
Volume: 78.0 Å³/atom

---

# 7
Material: Cs3SbTe4
Method: DFT, PBE
State: relaxed

Unit cell a=10.8229 b=12.8357 c=11.6987 alpha=90.00 beta=90.00 gamma=90.00
With the nearest neighbours (Å) after each atom.
Atoms (fractional coordinates):
Cs (0.0630, 0.0454, 0.1874)  7 Te 3.83-4.29
Cs (0.0630, 0.4546, 0.1874)  7 Te 3.83-4.29
Cs (0.1548, 0.7500, 0.4126)  7 Te 3.87-4.25
Cs (0.3452, 0.2500, 0.9126)  7 Te 3.87-4.25
Cs (0.4370, 0.5454, 0.6874)  7 Te 3.83-4.29
Cs (0.4370, 0.9546, 0.6874)  7 Te 3.83-4.29
Cs (0.5630, 0.0454, 0.3126)  7 Te 3.83-4.29
Cs (0.5630, 0.4546, 0.3126)  7 Te 3.83-4.29
Cs (0.6548, 0.7500, 0.0874)  7 Te 3.87-4.25
Cs (0.8452, 0.2500, 0.5874)  7 Te 3.87-4.25
Cs (0.9370, 0.5454, 0.8126)  7 Te 3.83-4.29
Cs (0.9370, 0.9546, 0.8126)  7 Te 3.83-4.29
Sb (0.2445, 0.7500, 0.9705)  4 Te 2.75-2.84
Sb (0.2555, 0.2500, 0.4705)  4 Te 2.75-2.84
Sb (0.7445, 0.7500, 0.5295)  4 Te 2.75-2.84
Sb (0.7555, 0.2500, 0.0295)  4 Te 2.75-2.84
Te (0.0227, 0.7500, 0.0913)  1 Sb 2.79
Te (0.1234, 0.0646, 0.5219)  1 Sb 2.84
Te (0.1234, 0.4354, 0.5219)  1 Sb 2.84
Te (0.1832, 0.7500, 0.7422)  1 Sb 2.75
Te (0.3168, 0.2500, 0.2422)  1 Sb 2.75
Te (0.3766, 0.5646, 0.0219)  1 Sb 2.84
Te (0.3766, 0.9354, 0.0219)  1 Sb 2.84
Te (0.4773, 0.2500, 0.5913)  1 Sb 2.79
Te (0.5227, 0.7500, 0.4087)  1 Sb 2.79
Te (0.6234, 0.0646, 0.9781)  1 Sb 2.84
Te (0.6234, 0.4354, 0.9781)  1 Sb 2.84
Te (0.6832, 0.7500, 0.7578)  1 Sb 2.75
Te (0.8168, 0.2500, 0.2578)  1 Sb 2.75
Te (0.8766, 0.5646, 0.4781)  1 Sb 2.84
Te (0.8766, 0.9354, 0.4781)  1 Sb 2.84
Te (0.9773, 0.2500, 0.9087)  1 Sb 2.79

Values from the calculation:
Electronic total energy: -100.21 eV per cell
Mass density: 4213 kg/m3
Magnetic moment: 0.000 μB/cell
Volume: 50.8 Å³/atom

---

# 8
Material: Cs3SbTe3
Method: DFT, PBE
State: relaxed

Unit cell a=9.2738 b=9.2738 c=9.6715 alpha=91.80 beta=91.80 gamma=112.16
With the nearest neighbours (Å) after each atom.
Atoms (fractional coordinates):
Cs (0.1751, 0.8249, 0.0000)  6 Te 3.82-4.00
Cs (0.2191, 0.7809, 0.5000)  6 Te 4.02-4.38, 2 Sb 4.25
Cs (0.3673, 0.3673, 0.1424)  5 Te 3.68-4.08, 1 Cs 4.00
Cs (0.6327, 0.6327, 0.8576)  5 Te 3.68-4.08, 1 Cs 4.00
Cs (0.7809, 0.2191, 0.5000)  6 Te 4.02-4.38, 2 Sb 4.25
Cs (0.8249, 0.1751, 0.0000)  6 Te 3.82-4.00
Sb (0.2160, 0.2160, 0.6480)  3 Te 2.81-2.84
Sb (0.7840, 0.7840, 0.3520)  3 Te 2.81-2.84
Te (0.0438, 0.0438, 0.2816)  1 Sb 2.81
Te (0.1736, 0.4672, 0.7918)  1 Sb 2.84
Te (0.4672, 0.1736, 0.7918)  1 Sb 2.84
Te (0.5328, 0.8264, 0.2082)  1 Sb 2.84
Te (0.8264, 0.5328, 0.2082)  1 Sb 2.84
Te (0.9562, 0.9562, 0.7184)  1 Sb 2.81

Values from the calculation:
Electronic total energy: -43.43 eV per cell
Mass density: 3900 kg/m3
Magnetic moment: 0.000 μB/cell
Volume: 54.9 Å³/atom

---

# 9
Material: Cs4SbTe5
Method: DFT, PBE
State: relaxed

Unit cell a=9.2359 b=9.2359 c=9.2359 alpha=100.14 beta=100.14 gamma=130.38
With the nearest neighbours (Å) after each atom.
Atoms (fractional coordinates):
Cs (0.0915, 0.2984, 0.3899)  5 Te 3.73-3.99
Cs (0.2984, 0.9085, 0.2069)  5 Te 3.73-3.99
Cs (0.7016, 0.0915, 0.7931)  5 Te 3.73-3.99
Cs (0.9085, 0.7016, 0.6101)  5 Te 3.73-3.99
Sb (0.5863, 0.5863, 0.0000)  5 Te 2.75-2.88
Te (0.2745, 0.5734, 0.8499)  1 Sb 2.88
Te (0.4246, 0.2745, 0.7011)  1 Sb 2.88
Te (0.5734, 0.7234, 0.2989)  1 Sb 2.88
Te (0.7234, 0.4246, 0.1501)  1 Sb 2.88
Te (0.9411, 0.9411, 0.0000)  1 Sb 2.75

Values from the calculation:
Electronic total energy: -29.01 eV per cell
Mass density: 3937 kg/m3
Magnetic moment: 0.833 μB/cell
Volume: 54.5 Å³/atom

---

# 10
Material: Cs2SbTe2
Method: DFT, PBE
State: relaxed

Unit cell a=8.5259 b=8.5259 c=5.9005 alpha=90.00 beta=90.00 gamma=90.00
With the nearest neighbours (Å) after each atom.
Atoms (fractional coordinates):
Cs (0.1523, 0.3477, 0.0000)  6 Te 3.65-4.03, 1 Cs 3.67
Cs (0.3477, 0.8477, 0.0000)  6 Te 3.65-4.03, 1 Cs 3.67
Cs (0.6523, 0.1523, 0.0000)  6 Te 3.65-4.03, 1 Cs 3.67
Cs (0.8477, 0.6523, 0.0000)  6 Te 3.65-4.03, 1 Cs 3.67
Sb (0.0000, 0.0000, 0.5000)  4 Te 3.17
Sb (0.5000, 0.5000, 0.5000)  4 Te 3.17
Te (0.1690, 0.6690, 0.5000)  2 Sb 3.17
Te (0.3310, 0.1690, 0.5000)  2 Sb 3.17
Te (0.6690, 0.8310, 0.5000)  2 Sb 3.17
Te (0.8310, 0.3310, 0.5000)  2 Sb 3.17

Values from the calculation:
Electronic total energy: -29.55 eV per cell
Mass density: 4977 kg/m3
Magnetic moment: 0.000 μB/cell
Volume: 42.9 Å³/atom

---

# 11
Material: Cs3Sb2Te5
Method: DFT, PBE
State: relaxed

Unit cell a=12.3429 b=12.3429 c=12.3429 alpha=135.02 beta=68.31 gamma=131.47
With the nearest neighbours (Å) after each atom.
Atoms (fractional coordinates):
Cs (0.1626, 0.6505, 0.8130)  6 Te 3.91-4.23, 2 Sb 4.04-4.21
Cs (0.2500, 0.2500, 0.0000)  4 Sb 3.80, 6 Te 4.05-4.09
Cs (0.3374, 0.1505, 0.4879)  6 Te 3.91-4.23, 2 Sb 4.04-4.21
Cs (0.6626, 0.8495, 0.5121)  6 Te 3.91-4.23, 2 Sb 4.04-4.21
Cs (0.7500, 0.7500, 0.0000)  4 Sb 3.80, 6 Te 4.05-4.09
Cs (0.8374, 0.3495, 0.1870)  6 Te 3.91-4.23, 2 Sb 4.04-4.21
Sb (0.1345, 0.0741, 0.2086)  3 Te 2.93-3.03
Sb (0.3655, 0.5741, 0.9396)  3 Te 2.93-3.03
Sb (0.6345, 0.4259, 0.0604)  3 Te 2.93-3.03
Sb (0.8655, 0.9259, 0.7914)  3 Te 2.93-3.03
Te (0.0433, 0.3265, 0.3698)  1 Sb 3.03, 2 Te 3.15
Te (0.0519, 0.2500, 0.8019)  2 Sb 2.93
Te (0.2500, 0.7500, 0.5000)  4 Te 3.15
Te (0.4481, 0.2500, 0.1981)  2 Sb 2.93
Te (0.4567, 0.8265, 0.2832)  1 Sb 3.03, 2 Te 3.15
Te (0.5433, 0.1735, 0.7168)  1 Sb 3.03, 2 Te 3.15
Te (0.5519, 0.7500, 0.8019)  2 Sb 2.93
Te (0.7500, 0.2500, 0.5000)  4 Te 3.15
Te (0.9481, 0.7500, 0.1981)  2 Sb 2.93
Te (0.9567, 0.6735, 0.6302)  1 Sb 3.03, 2 Te 3.15

Values from the calculation:
Electronic total energy: -61.47 eV per cell
Mass density: 4345 kg/m3
Magnetic moment: 0.000 μB/cell
Volume: 48.9 Å³/atom

---

# 12
Material: Cs3Sb2Te4
Method: DFT, PBE
State: relaxed

Unit cell a=10.4704 b=10.4704 c=10.1646 alpha=91.44 beta=91.44 gamma=59.80
With the nearest neighbours (Å) after each atom.
Atoms (fractional coordinates):
Cs (0.0292, 0.9708, 0.7500)  6 Te 3.92-4.13
Cs (0.2522, 0.4801, 0.1145)  6 Te 3.94-4.04, 1 Sb 4.14
Cs (0.4801, 0.2522, 0.6145)  6 Te 3.94-4.04, 1 Sb 4.14
Cs (0.5199, 0.7478, 0.3855)  6 Te 3.94-4.04, 1 Sb 4.14
Cs (0.7478, 0.5199, 0.8855)  6 Te 3.94-4.04, 1 Sb 4.14
Cs (0.9708, 0.0292, 0.2500)  6 Te 3.92-4.13
Sb (0.0507, 0.3458, 0.5442)  2 Te 2.76-2.83, 1 Sb 3.00
Sb (0.3458, 0.0507, 0.0442)  2 Te 2.76-2.83, 1 Sb 3.00
Sb (0.6542, 0.9493, 0.9558)  2 Te 2.76-2.83, 1 Sb 3.00
Sb (0.9493, 0.6542, 0.4558)  2 Te 2.76-2.83, 1 Sb 3.00
Te (0.1758, 0.2418, 0.8375)  1 Sb 2.83
Te (0.2098, 0.6588, 0.4779)  1 Sb 2.76
Te (0.2418, 0.1758, 0.3375)  1 Sb 2.83
Te (0.3412, 0.7902, 0.0221)  1 Sb 2.76
Te (0.6588, 0.2098, 0.9779)  1 Sb 2.76
Te (0.7582, 0.8242, 0.6625)  1 Sb 2.83
Te (0.7902, 0.3412, 0.5221)  1 Sb 2.76
Te (0.8242, 0.7582, 0.1625)  1 Sb 2.83

Values from the calculation:
Electronic total energy: -58.15 eV per cell
Mass density: 3976 kg/m3
Magnetic moment: 0.000 μB/cell
Volume: 53.5 Å³/atom